(1)
Compound: Na6Zn2Au
Source: Alexandria
Functional: PBE
Structure: relaxed

Computed properties:
Calculated total energy = -0.0584 hartree per atom
M_tot = 0.00 μB/f.u.

abc: 5.3140 5.3140 10.3514
angles: 75.13 75.13 60.00
Last column: nearest neighbours and their distance in Å.
Positions (direct):
1 Zn 0.9137 0.9137 0.2589  1 Au 2.56
2 Zn 0.0863 0.0863 0.7411  1 Au 2.56
3 Au 0.0000 0.0000 0.0000  2 Zn 2.56
4 Na 0.1904 0.1904 0.4289  1 Zn 3.09, 7 Na 3.37-3.45
5 Na 0.8096 0.8096 0.5711  1 Zn 3.09, 7 Na 3.37-3.45
6 Na 0.6946 0.6946 0.9163  3 Au 3.18, 5 Na 3.41-3.49, 3 Zn 3.52
7 Na 0.5770 0.5770 0.2689  3 Zn 3.07
8 Na 0.4230 0.4230 0.7311  3 Zn 3.07
9 Na 0.3054 0.3054 0.0837  3 Au 3.18, 5 Na 3.41-3.49, 3 Zn 3.52


(2)
Compound: DyCd3Cu8
Source: Alexandria
Functional: PBE
Structure: relaxed

Computed properties:
Calculated total energy = -0.1268 hartree per atom
M_tot = 0.00 μB/f.u.

abc: 5.0632 5.0632 8.8186
angles: 73.32 73.32 60.00
Last column: nearest neighbours and their distance in Å.
Positions (direct):
1 Cu 0.6878 0.6878 0.9367  6 Cu 2.52-2.53
2 Cu 0.9389 0.4386 0.1840  6 Cu 2.52-2.57
3 Cu 0.4366 0.9372 0.6891  6 Cu 2.53-2.55
4 Cu 0.4386 0.9389 0.1840  6 Cu 2.52-2.57
5 Cu 0.9372 0.4366 0.6891  6 Cu 2.53-2.55
6 Cu 0.1873 0.1873 0.4381  6 Cu 2.55-2.57
7 Cu 0.4386 0.4386 0.1840  6 Cu 2.52-2.57
8 Cu 0.9372 0.9372 0.6891  6 Cu 2.53-2.55
9 Cd 0.0030 0.0030 0.9910  12 Cu 2.91-3.00, 3 Cd 3.07, 1 Dy 3.19
10 Cd 0.3745 0.3745 0.8766  12 Cu 2.95-2.97, 4 Cd 3.02-3.07
11 Cd 0.4953 0.4953 0.5141  12 Cu 2.92-3.11, 1 Cd 3.02, 3 Dy 3.15
12 Dy 0.8752 0.8752 0.3743  12 Cu 2.97-3.00, 4 Cd 3.15-3.19


(3)
Compound: CsV
Source: Alexandria
Functional: PBE
Structure: relaxed

Computed properties:
Energy relative to the lowest polymorph listed for this composition = 623 meV/atom
M_tot = 0.87 μB/f.u.

abc: 7.9515 7.9515 7.3373
angles: 90.00 90.00 90.00
Last column: nearest neighbours and their distance in Å.
Positions (direct):
1 V 0.9197 0.0803 0.5000  1 V 1.81
2 V 0.4197 0.4197 0.0000  1 V 1.81
3 V 0.5803 0.5803 0.0000  1 V 1.81
4 V 0.0803 0.9197 0.5000  1 V 1.81
5 Cs 0.6748 0.6748 0.5000  4 V 3.77-3.82, 1 Cs 3.93
6 Cs 0.1748 0.8252 0.0000  4 V 3.77-3.82, 1 Cs 3.93
7 Cs 0.8252 0.1748 0.0000  4 V 3.77-3.82, 1 Cs 3.93
8 Cs 0.3252 0.3252 0.5000  4 V 3.77-3.82, 1 Cs 3.93


(4)
Compound: BeAg
Source: Alexandria
Functional: PBE
Structure: relaxed

Computed properties:
Calculated total energy = -0.1117 hartree per atom
M_tot = 0.00 μB/f.u.

abc: 4.8613 4.8613 4.8613
angles: 137.03 137.03 62.40
Last column: nearest neighbours and their distance in Å.
Positions (direct):
1 Be 0.5000 0.5000 0.0000  8 Ag 2.52-2.74, 4 Be 2.74
2 Be 0.7500 0.2500 0.5000  8 Ag 2.52-2.74, 4 Be 2.74
3 Ag 0.0000 0.0000 0.0000  8 Be 2.52-2.74, 4 Ag 2.74
4 Ag 0.2500 0.7500 0.5000  8 Be 2.52-2.74, 4 Ag 2.74


(5)
Compound: NbNiB
Source: Alexandria
Functional: PBE
Structure: relaxed

Computed properties:
Calculated total energy = -0.2840 hartree per atom
M_tot = 0.00 μB/f.u.

abc: 5.3929 4.7076 7.5815
angles: 90.00 133.20 90.00
Last column: nearest neighbours and their distance in Å.
Positions (direct):
1 Ni 0.6685 0.5000 0.8911  2 B 2.09
2 Ni 0.6685 0.0000 0.3911  2 B 2.09
3 Ni 0.0192 0.5000 0.7080  4 B 2.27-2.30
4 Ni 0.0192 0.0000 0.2080  4 B 2.27-2.30
5 B 0.1172 0.6938 0.0250  1 B 1.82
6 B 0.1172 0.3062 0.0250  1 B 1.82
7 B 0.1172 0.1938 0.5250  1 B 1.82
8 B 0.1172 0.8062 0.5250  1 B 1.82
9 Nb 0.3186 0.5000 0.3981  4 B 2.37-2.41, 2 Ni 2.65
10 Nb 0.6637 0.5000 0.2253  4 B 2.37-2.39, 1 Ni 2.55
11 Nb 0.6637 0.0000 0.7253  4 B 2.37-2.39, 1 Ni 2.55
12 Nb 0.3186 0.0000 0.8981  4 B 2.37-2.41, 2 Ni 2.65


(6)
Compound: BiPdAuF2
Source: Alexandria
Functional: PBE
Structure: relaxed

Computed properties:
ΔE_f (raw) = -0.774 eV/atom
M_tot = 0.00 μB/f.u.

abc: 4.3976 5.7310 4.3976
angles: 90.00 90.00 90.00
Last column: nearest neighbours and their distance in Å.
Positions (direct):
1 F 0.0000 0.0000 0.5000  2 Bi 2.20
2 F 0.5000 0.0000 0.0000  2 Bi 2.20
3 Pd 0.5000 0.5000 0.5000  4 Au 3.11
4 Au 0.0000 0.5000 0.0000  2 Bi 2.87, 4 Pd 3.11
5 Bi 0.0000 0.0000 0.0000  4 F 2.20


(7)
Compound: CdHg8Pb2
Source: Alexandria
Functional: PBE
Structure: relaxed

Computed properties:
Energy relative to the lowest polymorph listed for this composition = 0 meV/atom
M_tot = 0.00 μB/f.u.

abc: 5.3440 5.3440 10.7533
angles: 90.00 90.00 90.00
Last column: nearest neighbours and their distance in Å.
Positions (direct):
1 Hg 0.0000 0.5000 0.1421  3 Hg 3.06-3.22, 2 Cd 3.08, 2 Pb 3.32
2 Hg 0.0000 0.5000 0.8579  3 Hg 3.06-3.22, 2 Cd 3.08, 2 Pb 3.32
3 Hg 0.5000 0.5000 0.6913  8 Hg 3.22-3.37
4 Hg 0.5000 0.0000 0.8579  3 Hg 3.06-3.22, 2 Cd 3.08, 2 Pb 3.32
5 Hg 0.5000 0.0000 0.5000  4 Pb 3.27, 4 Hg 3.37
6 Hg 0.0000 0.5000 0.5000  4 Pb 3.27, 4 Hg 3.37
7 Hg 0.5000 0.5000 0.3087  8 Hg 3.22-3.37
8 Hg 0.5000 0.0000 0.1421  3 Hg 3.06-3.22, 2 Cd 3.08, 2 Pb 3.32
9 Pb 0.0000 0.0000 0.6748  8 Hg 3.27-3.32, 1 Cd 3.50
10 Pb 0.0000 0.0000 0.3252  8 Hg 3.27-3.32, 1 Cd 3.50
11 Cd 0.0000 0.0000 0.0000  8 Hg 3.08


(8)
Compound: Zr5Hg4
Source: Alexandria
Functional: PBE
Structure: relaxed

Computed properties:
Energy relative to the lowest polymorph listed for this composition = 80 meV/atom
M_tot = 0.79 μB/f.u.

abc: 7.1008 7.1008 7.1008
angles: 95.32 95.32 144.54
Last column: nearest neighbours and their distance in Å.
Positions (direct):
1 Zr 0.3317 0.6683 0.0000  6 Zr 3.09-3.22, 6 Hg 3.11-3.17
2 Zr 0.6683 0.3317 0.0000  6 Zr 3.09-3.22, 6 Hg 3.11-3.17
3 Zr 0.3317 0.3317 0.6635  6 Zr 3.09-3.22, 6 Hg 3.11-3.17
4 Zr 0.0000 0.0000 0.0000  8 Zr 3.14, 4 Hg 3.15
5 Zr 0.6683 0.6683 0.3365  6 Zr 3.09-3.22, 6 Hg 3.11-3.17
6 Hg 0.0000 0.6705 0.6705  7 Zr 3.11-3.17, 5 Hg 3.16-3.26
7 Hg 0.0000 0.3295 0.3295  7 Zr 3.11-3.17, 5 Hg 3.16-3.26
8 Hg 0.6705 0.0000 0.6705  7 Zr 3.11-3.17, 5 Hg 3.16-3.26
9 Hg 0.3295 0.0000 0.3295  7 Zr 3.11-3.17, 5 Hg 3.16-3.26


(9)
Compound: In2AsCl
Source: Alexandria
Functional: PBE
Structure: relaxed

Computed properties:
ΔE_f (raw) = -0.250 eV/atom
Energy relative to the lowest polymorph listed for this composition = 127 meV/atom
M_tot = 0.00 μB/f.u.

abc: 8.5496 6.4498 3.1771
angles: 62.65 108.76 137.90
Last column: nearest neighbours and their distance in Å.
Positions (direct):
1 Cl 0.5000 0.5000 0.0000  4 In 2.87, 2 Cl 3.18
2 In 0.5000 0.0000 0.5000  2 Cl 2.87, 2 As 2.87, 2 In 3.18
3 In 0.0000 0.0000 0.0000  2 As 2.87, 2 Cl 2.87, 2 In 3.18
4 As 0.0000 0.5000 0.5000  4 In 2.87, 2 As 3.18


(10)
Compound: K2HfOsO6
Source: Alexandria
Functional: PBE
Structure: relaxed

Computed properties:
ΔE_f (raw) = -2.043 eV/atom
M_tot = 0.00 μB/f.u.

abc: 5.6894 5.6894 5.6900
angles: 119.98 119.98 90.00
Last column: nearest neighbours and their distance in Å.
Positions (direct):
1 Os 0.9999 0.0004 0.9998  6 O 1.94
2 O 0.2405 0.2409 0.4812  1 Os 1.94, 1 Hf 2.09
3 O 0.2407 0.2412 0.9995  1 Os 1.94, 1 Hf 2.08
4 O 0.7591 0.2412 0.9998  1 Os 1.94, 1 Hf 2.09
5 O 0.7593 0.7598 0.5184  1 Os 1.94, 1 Hf 2.09
6 O 0.7591 0.7596 0.0001  1 Os 1.94, 1 Hf 2.08
7 O 0.2407 0.7596 0.9998  1 Os 1.94, 1 Hf 2.09
8 K 0.2500 0.7503 0.4998  12 O 2.85
9 K 0.7498 0.2505 0.4998  12 O 2.85
10 Hf 0.4999 0.5004 0.9998  6 O 2.08-2.09


(11)
Compound: AgRhS2O8
Source: Alexandria
Functional: PBE
Structure: relaxed

Computed properties:
ΔE_f (raw) = -0.997 eV/atom
M_tot = 0.00 μB/f.u.

abc: 4.8313 4.8313 7.4528
angles: 89.21 89.21 65.42
Last column: nearest neighbours and their distance in Å.
Positions (direct):
1 O 0.7671 0.2967 0.2036  1 S 1.53
2 O 0.7237 0.7237 0.3835  1 S 1.45
3 O 0.7505 0.7505 0.0476  1 S 1.49
4 O 0.2495 0.2495 0.9524  1 S 1.49
5 O 0.7033 0.2329 0.7964  1 S 1.53
6 O 0.2763 0.2763 0.6165  1 S 1.45
7 O 0.2329 0.7033 0.7964  1 S 1.53
8 O 0.2967 0.7671 0.2036  1 S 1.53
9 Rh 0.0000 0.0000 0.0000  6 O 2.05-2.07
10 S 0.3568 0.3568 0.7889  4 O 1.45-1.53
11 S 0.6432 0.6432 0.2111  4 O 1.45-1.53
12 Ag 0.0000 0.0000 0.5000  6 O 2.42-2.62